Compound: LiCeTh2Te4
Source: Alexandria
Functional: PBE
Structure: optimized geometry

## Properties
- E_tot: -5.55 eV per atom
- Calculated volume: 244.89 Å³/cell
- Magnetization: 0.130 μB per atom
- Formation energy without anion corrections: -1.141 eV/atom

Geometry as CIF:
```
data_LiCeTh2Te4
_symmetry_space_group_name_H-M 'P 1 2/m 1'
_symmetry_Int_Tables_number 10
_symmetry_space_group_name_Hall '-P 2y'
_cell_length_a 7.509
_cell_length_b 4.304
_cell_length_c 7.959
_cell_angle_alpha 90.00
_cell_angle_beta 107.80
_cell_angle_gamma 90.00
loop_
_atom_site_label
_atom_site_fract_x
_atom_site_fract_y
_atom_site_fract_z
Li1 0.000 0.000 0.000
Ce1 0.500 0.500 0.000
Th1 0.000 0.500 0.500
Th2 0.500 0.000 0.500
Te1 0.235 0.500 0.235
Te2 0.241 0.000 0.762
```